1.
Density functional theory data (PBE) for an optimized crystal structure of CsRbNa2I.

Summary:
- energy relative to the lowest polymorph listed for this composition (meV/atom) = 13
- magnetic moment (μB/atom) = 0.000
- density of states at the Fermi level (states/eV per cell) = 3.3

abc: 6.725 6.725 7.181
angles: 90.00 90.00 90.00
Atoms (fractional coordinates):
Cs 0.000 0.000 0.000
Rb 0.500 0.500 0.000
Na 0.000 0.500 0.500
Na 0.500 0.000 0.500
I 0.500 0.500 0.500



2.
Density functional theory data (PBE) for an optimized crystal structure of K2GaBiS4.

Summary:
- magnetic moment (μB/atom) = 0.000
- DFT total energy (eV for the cell shown) = -32.11
- density of states at the Fermi level (states/eV per cell) = 0.0

abc: 6.547 6.547 6.547
angles: 106.12 106.12 116.41
Atoms (fractional coordinates):
K 0.000 0.500 0.500
K 0.500 0.000 0.500
Ga 0.000 0.000 0.000
Bi 0.500 0.500 0.000
S 0.041 0.373 0.000
S 0.373 0.041 0.000
S 0.627 0.627 0.668
S 0.959 0.959 0.332



3.
Density functional theory data (PBE) for an optimized crystal structure of Sm4CS2O.

Summary:
- magnetic moment (μB/atom) = 0.000
- DFT total energy (eV for the cell shown) = -55.77
- density of states at the Fermi level (states/eV per cell) = 2.4

abc: 6.499 3.783 6.792
angles: 90.00 108.73 90.00
Atoms (fractional coordinates):
Sm 0.236 0.000 0.215
Sm 0.254 0.500 0.784
Sm 0.746 0.500 0.216
Sm 0.764 0.000 0.785
C 0.000 0.500 0.000
S 0.000 0.000 0.500
S 0.500 0.500 0.500
O 0.500 0.000 0.000



4.
Density functional theory data (PBE) for an optimized crystal structure of MnTlZn2.

Summary:
- energy relative to the lowest polymorph listed for this composition (meV/atom) = 155
- magnetic moment (μB/atom) = 0.998
- ΔE_f (eV per atom) = 0.3634
- density of states at the Fermi level (states/eV per cell) = 1.7

abc: 4.703 4.703 4.703
angles: 60.00 60.00 60.00
Atoms (fractional coordinates):
Mn 0.000 0.000 0.000
Tl 0.250 0.250 0.250
Zn 0.500 0.500 0.500
Zn 0.750 0.750 0.750